NbAgPS2 | PBE | relaxed

Cell: 4.7937 4.7937 4.9045 Å, 90.00 90.00 90.00°
Last column: nearest neighbours and their distance in Å.
Fractional positions:
S 0.5000 0.0000 0.0000  2 Nb 2.40
Ag 0.5000 0.5000 0.5000  4 P 3.39, 8 S 3.43
Nb 0.0000 0.0000 0.0000  4 S 2.40, 2 P 2.45
P 0.0000 0.0000 0.5000  2 Nb 2.45
S 0.0000 0.5000 0.0000  2 Nb 2.40

Properties
For the offset from the most stable computed form, the calculation gives 0.0 meV per atom. The space group is P4/mmm. For the energy, the calculation gives -5.23 eV per atom. The magnetic moment comes out at 0.00 Bohr magnetons per cell.

CdSiAs2Br | PBE | relaxed

Cell: 4.8844 4.8844 5.1143 Å, 90.00 90.00 90.00°
Last column: nearest neighbours and their distance in Å.
Fractional positions:
Br 0.0000 0.0000 0.5000  2 Si 2.56
As 0.5000 0.0000 0.0000  2 Si 2.44
Cd 0.5000 0.5000 0.5000  4 Br 3.45, 8 As 3.54
Si 0.0000 0.0000 0.0000  4 As 2.44, 2 Br 2.56
As 0.0000 0.5000 0.0000  2 Si 2.44

Properties
For the offset from the most stable computed form, the calculation gives 0.0 meV per atom. The space group is P4/mmm. For the energy, the calculation gives -3.01 eV per atom. The magnetic moment comes out at 0.01 Bohr magnetons per cell.

SmZrTlHg | PBE | relaxed

Cell: 5.2188 5.2188 5.2188 Å, 60.00 60.00 60.00°
Last column: nearest neighbours and their distance in Å.
Fractional positions:
Hg 0.5000 0.5000 0.5000  4 Sm 3.20, 4 Zr 3.20
Tl 0.0000 0.0000 0.0000  4 Zr 3.20, 4 Sm 3.20
Sm 0.7500 0.7500 0.7500  4 Tl 3.20, 4 Hg 3.20
Zr 0.2500 0.2500 0.2500  4 Hg 3.20, 4 Tl 3.20

Properties
As for the calculated formation energy: -0.198 eV per atom. The space group is F-43m. For the energy, the calculation gives -4.18 eV per atom. The magnetic moment comes out at 0.00 Bohr magnetons per cell.

Pu4CuRuPt2 | PBE | relaxed

Cell: 4.9322 4.9322 8.4599 Å, 73.05 73.05 60.00°
Last column: nearest neighbours and their distance in Å.
Fractional positions:
Ru 0.5000 0.5000 0.5000  8 Pu 2.89-2.99
Pu 0.6209 0.6209 0.1373  1 Ru 2.89, 4 Pt 2.97-3.02, 3 Cu 3.05
Pt 0.2528 0.2528 0.2416  8 Pu 2.97-3.07
Pu 0.8719 0.8719 0.3844  4 Pt 2.98-3.07, 3 Ru 2.99, 1 Cu 3.06
Pt 0.7472 0.7472 0.7584  8 Pu 2.97-3.07
Pu 0.3791 0.3791 0.8627  1 Ru 2.89, 4 Pt 2.97-3.02, 3 Cu 3.05
Pu 0.1281 0.1281 0.6156  4 Pt 2.98-3.07, 3 Ru 2.99, 1 Cu 3.06
Cu 0.0000 0.0000 0.0000  8 Pu 3.05-3.06

Properties
As for the calculated formation energy: -0.372 eV per atom. The space group is R-3m. For the energy, the calculation gives -10.72 eV per atom. The magnetic moment comes out at 21.21 Bohr magnetons per cell.